# LiAg4Ge

A relaxed LiAg4Ge crystal (PBE, the Alexandria database). Values from VASP.

Structure (Quantum ESPRESSO input):
```
&SYSTEM
  ibrav = 0, nat = 6, ntyp = 3
/
ATOMIC_SPECIES
Li 6.94 Li.upf
Ag 107.87 Ag.upf
Ge 72.64 Ge.upf
ATOMIC_POSITIONS crystal
Li 0.0000 0.0000 0.0000
Ag 0.3375 0.3256 0.6728
Ag 0.3389 0.3218 0.1619
Ag 0.6611 0.6782 0.8381
Ag 0.6625 0.6744 0.3272
Ge 0.0000 0.0000 0.5000
CELL_PARAMETERS angstrom
3.8775 0.0000 0.0000
1.9367 4.6915 0.0000
0.0228 1.7932 5.6899
```

## Properties
SG: No. 2
DFT formation energy in kJ/mol of atoms: -5
Total magnetization in μB/f.u.: 0.00
E above lowest polymorph in eV/atom: 0.000

=====

# LiAgGe

A relaxed LiAgGe crystal (PBE, the Alexandria database). Values from VASP.

Structure (Quantum ESPRESSO input):
```
&SYSTEM
  ibrav = 0, nat = 3, ntyp = 3
/
ATOMIC_SPECIES
Li 6.94 Li.upf
Ag 107.87 Ag.upf
Ge 72.64 Ge.upf
ATOMIC_POSITIONS crystal
Li 0.0000 0.0000 0.0000
Ag 0.2500 0.2500 0.2500
Ge 0.5000 0.5000 0.5000
CELL_PARAMETERS angstrom
0.0000 3.0625 3.0625
3.0625 0.0000 3.0625
3.0625 3.0625 0.0000
```

## Properties
SG: No. 216
DFT formation energy in kJ/mol of atoms: -2
Total magnetization in μB/f.u.: 0.00